Here is TlGeF4 after structural relaxation from the Alexandria database. Energies are from PBE-GGA.

Cell and atoms, written as POSCAR:
```
TlGeF4
1.0
-3.9193 0.1176 -0.2421
0.3992 -2.1618 -7.5135
-0.3581 -7.5205 2.1448
F Tl Ge
8 2 2
direct
0.2342 0.2928 0.5000
0.7658 0.5000 0.7072
0.2342 0.0000 0.7928
0.7658 0.5000 0.2928
0.2342 0.7072 0.5000
0.7658 0.7928 0.0000
0.7658 0.2072 0.0000
0.2342 0.0000 0.2072
0.6562 0.0000 0.5000
0.3438 0.5000 0.0000
0.0000 0.5000 0.5000
0.0000 0.0000 0.0000
```

- Symmetry: No. 129
- Uncorrected formation energy: -1.953 eV/atom
- Total DFT energy (no corrections): -4.36 eV per atom
- ΔE to the lowest computed polymorph: 0.48 eV/f.u.


Here is Cs2TeI after structural relaxation from the Alexandria database. Energies are from PBE-GGA.

Cell and atoms, written as POSCAR:
```
Cs2TeI
1.0
5.7657 0.0033 -0.0018
-0.0034 8.5651 4.8290
0.0031 -0.0313 10.0659
Cs Te I
4 2 2
direct
0.7500 0.8946 0.7360
0.2500 0.6306 0.2640
0.2500 0.1054 0.2640
0.7500 0.3694 0.7360
0.2500 0.0288 0.9423
0.7500 0.9712 0.0577
0.7500 0.3150 0.3700
0.2500 0.6850 0.6300
```

- Symmetry: No. 63
- Uncorrected formation energy: -1.171 eV/atom
- Total DFT energy (no corrections): -2.77 eV per atom
- ΔE to the lowest computed polymorph: 0.00 eV/f.u.


Here is NaTcIr2Pt after structural relaxation from the Alexandria database. Energies are from PBE-GGA.

Cell and atoms, written as POSCAR:
```
NaTcIr2Pt
1.0
-0.5548 -4.2191 -2.2645
2.5954 1.6330 -3.6785
4.0130 -1.6534 2.0974
Ir Pt Na Tc
2 1 1 1
direct
0.5000 0.0000 0.0000
0.0000 0.0000 0.5000
0.0000 0.0000 0.0000
0.0000 0.5000 0.0000
0.5000 0.5000 0.5000
```

- Symmetry: No. 123
- ΔE_f: 1.77 eV per atom
- Total DFT energy (no corrections): -5.32 eV per atom


Here is RbCu2PbF8 after structural relaxation from the Alexandria database. Energies are from PBE-GGA.

Cell and atoms, written as POSCAR:
```
RbCu2PbF8
1.0
5.9974 0.0000 0.0000
0.0000 5.9974 0.0000
-2.9987 -2.9987 5.0873
F Rb Pb Cu
8 1 1 2
direct
0.9669 0.7553 0.5353
0.7629 0.3330 0.9807
0.2200 0.0331 0.4647
0.2447 0.4317 0.4647
0.6670 0.7822 0.0193
0.2178 0.6477 0.9807
0.5683 0.7800 0.5353
0.3523 0.2371 0.0193
0.7500 0.2500 0.5000
0.0000 0.0000 0.0000
0.5000 0.5000 0.0000
0.2500 0.7500 0.5000
```

- Symmetry: No. 82
- Uncorrected formation energy: -1.915 eV/atom
- Total DFT energy (no corrections): -4.23 eV per atom


Here is La12Tb3Tm after structural relaxation from the Alexandria database. Energies are from PBE-GGA.

Cell and atoms, written as POSCAR:
```
La12Tb3Tm
1.0
5.2069 0.0000 0.0000
0.0000 5.2069 0.0000
0.0000 0.0000 20.8194
Tb La Tm
3 12 1
direct
0.0000 0.0000 0.5000
0.0000 0.0000 0.7507
0.0000 0.0000 0.2493
0.0000 0.5000 0.6254
0.5000 0.0000 0.1243
0.5000 0.0000 0.6254
0.0000 0.5000 0.1243
0.5000 0.5000 0.5000
0.5000 0.0000 0.8757
0.5000 0.5000 0.0000
0.0000 0.5000 0.3746
0.5000 0.0000 0.3746
0.5000 0.5000 0.7504
0.0000 0.5000 0.8757
0.5000 0.5000 0.2496
0.0000 0.0000 0.0000
```

- Symmetry: No. 123
- ΔE_f: 0.01 eV per atom
- Total DFT energy (no corrections): -4.84 eV per atom


Here is CeDy2As after structural relaxation from the Alexandria database. Energies are from PBE-GGA.

Cell and atoms, written as POSCAR:
```
CeDy2As
1.0
3.7159 0.0000 0.0000
0.0000 3.7159 0.0000
0.0000 0.0000 7.4427
Ce Dy As
1 2 1
direct
0.5000 0.5000 0.5000
0.0000 0.0000 0.7914
0.0000 0.0000 0.2086
0.5000 0.5000 0.0000
```

- Symmetry: No. 123
- ΔE_f: -0.53 eV per atom
- Total DFT energy (no corrections): -5.48 eV per atom


Here is Zn2InSe after structural relaxation from the Alexandria database. Energies are from PBE-GGA.

Cell and atoms, written as POSCAR:
```
Zn2InSe
1.0
-2.2728 -1.8789 2.3501
1.7718 -2.2065 -0.0505
3.8274 2.9364 6.0492
Zn Se In
2 1 1
direct
0.0000 0.7504 0.0238
0.5000 0.2503 0.2089
0.5000 0.7500 0.7814
0.0000 0.7493 0.4860
```

- Symmetry: No. 25
- Uncorrected formation energy: -0.031 eV/atom
- Total DFT energy (no corrections): -2.22 eV per atom
- ΔE to the lowest computed polymorph: 0.36 eV/f.u.


Here is Pm2Nd8Tm3 after structural relaxation from the Alexandria database. Energies are from PBE-GGA.

Cell and atoms, written as POSCAR:
```
Pm2Nd8Tm3
1.0
-0.8550 -0.1890 5.6316
7.6306 0.1785 1.1645
-4.1021 10.2265 -0.2845
Nd Tm Pm
8 3 2
direct
0.0006 0.8712 0.7423
0.9992 0.3287 0.6574
0.5001 0.8074 0.2072
0.4999 0.1926 0.7928
0.4999 0.6002 0.7928
0.5001 0.3998 0.2072
0.9994 0.1288 0.2577
0.0008 0.6713 0.3426
0.5000 0.0000 0.0000
0.0000 0.2854 0.0000
0.0000 0.7146 0.0000
0.4988 0.2394 0.4788
0.5012 0.7606 0.5212
```

- Symmetry: No. 12
- ΔE_f: 0.20 eV per atom
- Total DFT energy (no corrections): -4.50 eV per atom
- ΔE to the lowest computed polymorph: 0.53 eV/f.u.